(1)
# SmErAu PBE relaxed
data_SmErAu
_chemical_formula_sum 'Sm2 Er2 Au2'
_symmetry_space_group_name_H-M 'I 4 m m'
_symmetry_Int_Tables_number 107
_symmetry_space_group_name_Hall 'I 4 -2'
_cell_length_a 3.6120
_cell_length_b 3.6120
_cell_length_c 12.4264
_cell_angle_alpha 90.00
_cell_angle_beta 90.00
_cell_angle_gamma 90.00
loop_
_atom_site_label
_atom_site_type_symbol
_atom_site_fract_x
_atom_site_fract_y
_atom_site_fract_z
_atom_site_occupancy
Sm1 Sm 0.0000 0.0000 0.0000 1
Er1 Er 0.0000 0.0000 0.2893 1
Au1 Au 0.0000 0.0000 0.6587 1
# VASP energy ... -4.715 eV per atom
# Polymorph energy (0 for the lowest one) ... 94.0 meV/atom
# Calculated volume ... 27.020 A^3/atom
# Formation energy ... -0.528 eV/atom

(2)
# ErSn2Au8 PBE relaxed
data_ErSn2Au8
_chemical_formula_sum 'Er2 Sn4 Au16'
_symmetry_space_group_name_H-M 'C 1 2/m 1'
_symmetry_Int_Tables_number 12
_cell_length_a 16.7081
_cell_length_b 4.1764
_cell_length_c 6.5522
_cell_angle_alpha 90.00
_cell_angle_beta 103.28
_cell_angle_gamma 90.00
loop_
_symmetry_equiv_pos_as_xyz
'x,y,z'
'-x,-y,-z'
'-x,y,-z'
'x,-y,z'
'x+1/2,y+1/2,z'
'-x+1/2,-y+1/2,-z'
'-x+1/2,y+1/2,-z'
'x+1/2,-y+1/2,z'
loop_
_atom_site_label
_atom_site_type_symbol
_atom_site_fract_x
_atom_site_fract_y
_atom_site_fract_z
_atom_site_occupancy
Er1 Er 0.0000 0.0000 0.0000 1
Sn1 Sn 0.2181 0.5000 0.6598 1
Au1 Au 0.0415 0.5000 0.7200 1
Au2 Au 0.0886 0.0000 0.4523 1
Au3 Au 0.1286 0.5000 0.1800 1
Au4 Au 0.1733 0.0000 0.9185 1
# VASP energy ... -3.803 eV per atom
# Calculated volume ... 20.227 A^3/atom
# Formation energy ... -0.277 eV/atom

(3)
# ErSnAu2 PBE relaxed
data_ErSnAu2
_chemical_formula_sum 'Er1 Sn1 Au2'
_symmetry_space_group_name_H-M 'P 4/m m m'
_symmetry_Int_Tables_number 123
_symmetry_space_group_name_Hall '-P 4 2'
_cell_length_a 4.5915
_cell_length_b 4.5915
_cell_length_c 4.1195
_cell_angle_alpha 90.00
_cell_angle_beta 90.00
_cell_angle_gamma 90.00
loop_
_atom_site_label
_atom_site_type_symbol
_atom_site_fract_x
_atom_site_fract_y
_atom_site_fract_z
_atom_site_occupancy
Er1 Er 0.0000 0.0000 0.0000 1
Sn1 Sn 0.5000 0.5000 0.0000 1
Au1 Au 0.0000 0.5000 0.5000 1
# VASP energy ... -4.373 eV per atom
# Calculated volume ... 21.711 A^3/atom
# Formation energy ... -0.593 eV/atom

(4)
# Er8Sn2Au PBE relaxed
data_Er8Sn2Au
_chemical_formula_sum 'Er16 Sn4 Au2'
_symmetry_space_group_name_H-M 'C 1 2/m 1'
_symmetry_Int_Tables_number 12
_cell_length_a 19.1767
_cell_length_b 4.9672
_cell_length_c 6.6786
_cell_angle_alpha 90.00
_cell_angle_beta 103.75
_cell_angle_gamma 90.00
loop_
_symmetry_equiv_pos_as_xyz
'x,y,z'
'-x,-y,-z'
'-x,y,-z'
'x,-y,z'
'x+1/2,y+1/2,z'
'-x+1/2,-y+1/2,-z'
'-x+1/2,y+1/2,-z'
'x+1/2,-y+1/2,z'
loop_
_atom_site_label
_atom_site_type_symbol
_atom_site_fract_x
_atom_site_fract_y
_atom_site_fract_z
_atom_site_occupancy
Er1 Er 0.0200 0.0000 0.2762 1
Er2 Er 0.0928 0.5000 0.9722 1
Er3 Er 0.1512 0.5000 0.5043 1
Er4 Er 0.2175 0.0000 0.8239 1
Sn1 Sn 0.1821 0.0000 0.2618 1
Au1 Au 0.0000 0.5000 0.5000 1
# VASP energy ... -4.756 eV per atom
# Calculated volume ... 28.088 A^3/atom
# Formation energy ... -0.412 eV/atom

(5)
# Er4SnAu PBE relaxed
data_Er4SnAu
_chemical_formula_sum 'Er16 Sn4 Au4'
_symmetry_space_group_name_H-M 'C m c m'
_symmetry_Int_Tables_number 63
_symmetry_space_group_name_Hall '-C 2c 2'
_cell_length_a 5.3620
_cell_length_b 20.6278
_cell_length_c 6.3727
_cell_angle_alpha 90.00
_cell_angle_beta 90.00
_cell_angle_gamma 90.00
loop_
_atom_site_label
_atom_site_type_symbol
_atom_site_fract_x
_atom_site_fract_y
_atom_site_fract_z
_atom_site_occupancy
Er1 Er 0.0000 0.0558 0.2500 1
Er2 Er 0.0000 0.2019 0.0040 1
Er3 Er 0.0000 0.3812 0.2500 1
Sn1 Sn 0.0000 0.3441 0.7500 1
Au1 Au 0.0000 0.0799 0.7500 1
# VASP energy ... -4.668 eV per atom
# Calculated volume ... 29.369 A^3/atom
# Formation energy ... -0.413 eV/atom

(6)
# Er3Sn2Au PBE relaxed
data_Er3Sn2Au
_chemical_formula_sum 'Er12 Sn8 Au4'
_symmetry_space_group_name_H-M 'P n m a'
_symmetry_Int_Tables_number 62
_cell_length_a 12.1058
_cell_length_b 4.5167
_cell_length_c 11.5746
_cell_angle_alpha 90.00
_cell_angle_beta 90.00
_cell_angle_gamma 90.00
loop_
_symmetry_equiv_pos_as_xyz
'x,y,z'
'-x,-y,-z'
'-x+1/2,-y,z+1/2'
'x+1/2,y,-z+1/2'
'x+1/2,-y+1/2,-z+1/2'
'-x+1/2,y+1/2,z+1/2'
'-x,y+1/2,-z'
'x,-y+1/2,z'
loop_
_atom_site_label
_atom_site_type_symbol
_atom_site_fract_x
_atom_site_fract_y
_atom_site_fract_z
_atom_site_occupancy
Er1 Er 0.0488 0.2500 0.1240 1
Er2 Er 0.1290 0.7500 0.5617 1
Er3 Er 0.2237 0.2500 0.8029 1
Sn1 Sn 0.0017 0.7500 0.3097 1
Sn2 Sn 0.1849 0.7500 0.0136 1
Au1 Au 0.1321 0.2500 0.3635 1
# VASP energy ... -4.874 eV per atom
# Calculated volume ... 26.370 A^3/atom
# Formation energy ... -0.712 eV/atom

(7)
# Er3SnAu PBE relaxed
data_Er3SnAu
_chemical_formula_sum 'Er6 Sn2 Au2'
_symmetry_space_group_name_H-M 'P m m a'
_symmetry_Int_Tables_number 51
_cell_length_a 6.3817
_cell_length_b 5.2657
_cell_length_c 8.5945
_cell_angle_alpha 90.00
_cell_angle_beta 90.00
_cell_angle_gamma 90.00
loop_
_symmetry_equiv_pos_as_xyz
'x,y,z'
'-x,-y,-z'
'-x+1/2,-y,z'
'x+1/2,y,-z'
'x+1/2,-y,-z'
'-x+1/2,y,z'
'-x,y,-z'
'x,-y,z'
loop_
_atom_site_label
_atom_site_type_symbol
_atom_site_fract_x
_atom_site_fract_y
_atom_site_fract_z
_atom_site_occupancy
Er1 Er 0.0000 0.0000 0.0000 1
Er2 Er 0.2500 0.0000 0.3613 1
Er3 Er 0.2500 0.5000 0.7639 1
Sn1 Sn 0.2500 0.5000 0.1445 1
Au1 Au 0.2500 0.0000 0.6923 1
# VASP energy ... -4.723 eV per atom
# Calculated volume ... 28.881 A^3/atom
# Formation energy ... -0.530 eV/atom

(8)
# ErSnAu2 PBE relaxed
data_ErSnAu2
_chemical_formula_sum 'Er1 Sn1 Au2'
_symmetry_space_group_name_H-M 'P 4/m m m'
_symmetry_Int_Tables_number 123
_symmetry_space_group_name_Hall '-P 4 2'
_cell_length_a 3.7031
_cell_length_b 3.7031
_cell_length_c 6.5093
_cell_angle_alpha 90.00
_cell_angle_beta 90.00
_cell_angle_gamma 90.00
loop_
_atom_site_label
_atom_site_type_symbol
_atom_site_fract_x
_atom_site_fract_y
_atom_site_fract_z
_atom_site_occupancy
Er1 Er 0.0000 0.0000 0.0000 1
Sn1 Sn 0.0000 0.0000 0.5000 1
Au1 Au 0.5000 0.5000 0.2339 1
# VASP energy ... -4.384 eV per atom
# Calculated volume ... 22.316 A^3/atom
# Formation energy ... -0.604 eV/atom

(9)
# Er12SnAu6 PBE relaxed
data_Er12SnAu6
_chemical_formula_sum 'Er36 Sn3 Au18'
_symmetry_space_group_name_H-M 'R -3'
_symmetry_Int_Tables_number 148
_symmetry_space_group_name_Hall '-R 3'
_cell_length_a 13.1066
_cell_length_b 13.1066
_cell_length_c 11.5774
_cell_angle_alpha 90.00
_cell_angle_beta 90.00
_cell_angle_gamma 120.00
loop_
_atom_site_label
_atom_site_type_symbol
_atom_site_fract_x
_atom_site_fract_y
_atom_site_fract_z
_atom_site_occupancy
Er1 Er 0.0354 0.8199 0.3937 1
Er2 Er 0.0390 0.8140 0.8937 1
Sn1 Sn 0.0000 0.0000 0.0000 1
Au1 Au 0.0453 0.7887 0.6493 1
# VASP energy ... -4.567 eV per atom
# Calculated volume ... 30.217 A^3/atom
# Formation energy ... -0.440 eV/atom

(10)
# SrErSnAu PBE relaxed
data_SrErSnAu
_chemical_formula_sum 'Sr4 Er4 Sn4 Au4'
_symmetry_space_group_name_H-M 'F -4 3 m'
_symmetry_Int_Tables_number 216
_symmetry_space_group_name_Hall 'F -4 2 3'
_cell_length_a 7.5961
_cell_length_b 7.5961
_cell_length_c 7.5961
_cell_angle_alpha 90.00
_cell_angle_beta 90.00
_cell_angle_gamma 90.00
loop_
_atom_site_label
_atom_site_type_symbol
_atom_site_fract_x
_atom_site_fract_y
_atom_site_fract_z
_atom_site_occupancy
Sr1 Sr 0.0000 0.0000 0.0000 1
Er1 Er 0.0000 0.0000 0.5000 1
Sn1 Sn 0.2500 0.2500 0.2500 1
Au1 Au 0.2500 0.2500 0.7500 1
# VASP energy ... -4.043 eV per atom
# Calculated volume ... 27.394 A^3/atom
# Formation energy ... -0.662 eV/atom

(11)
# ErSn2Te4Au PBE relaxed
data_ErSn2Te4Au
_chemical_formula_sum 'Er1 Sn2 Te4 Au1'
_symmetry_space_group_name_H-M 'P 1 2/m 1'
_symmetry_Int_Tables_number 10
_cell_length_a 7.7905
_cell_length_b 4.3442
_cell_length_c 7.7980
_cell_angle_alpha 90.00
_cell_angle_beta 111.49
_cell_angle_gamma 90.00
loop_
_symmetry_equiv_pos_as_xyz
'x,y,z'
'-x,-y,-z'
'-x,y,-z'
'x,-y,z'
loop_
_atom_site_label
_atom_site_type_symbol
_atom_site_fract_x
_atom_site_fract_y
_atom_site_fract_z
_atom_site_occupancy
Er1 Er 0.0000 0.0000 0.0000 1
Sn1 Sn 0.0000 0.5000 0.5000 1
Sn2 Sn 0.5000 0.0000 0.5000 1
Te1 Te 0.2362 0.5000 0.2472 1
Te2 Te 0.2668 0.0000 0.7780 1
Au1 Au 0.5000 0.5000 0.0000 1
# VASP energy ... -4.027 eV per atom
# Calculated volume ... 30.695 A^3/atom

(12)
# ErSnTe3Au PBE relaxed
data_ErSnTe3Au
_chemical_formula_sum 'Er2 Sn2 Te6 Au2'
_symmetry_space_group_name_H-M 'P 1 21/m 1'
_symmetry_Int_Tables_number 11
_cell_length_a 8.5628
_cell_length_b 4.2780
_cell_length_c 10.1744
_cell_angle_alpha 90.00
_cell_angle_beta 104.96
_cell_angle_gamma 90.00
loop_
_symmetry_equiv_pos_as_xyz
'x,y,z'
'-x,-y,-z'
'-x,y+1/2,-z'
'x,-y+1/2,z'
loop_
_atom_site_label
_atom_site_type_symbol
_atom_site_fract_x
_atom_site_fract_y
_atom_site_fract_z
_atom_site_occupancy
Er1 Er 0.1874 0.2500 0.1790 1
Sn1 Sn 0.2835 0.7500 0.7299 1
Te1 Te 0.0789 0.2500 0.8604 1
Te2 Te 0.2229 0.2500 0.4840 1
Te3 Te 0.4279 0.7500 0.1388 1
Au1 Au 0.4101 0.7500 0.4058 1
# VASP energy ... -4.184 eV per atom
# Calculated volume ... 30.006 A^3/atom